Density functional theory data (GGA-PBEsol) for CuTc2W after structural relaxation.

POSCAR file:
```
CuTc2W
1.0
-2.634 -2.694 0.380
2.633 -2.392 1.292
-0.689 3.725 2.759
Cu Tc W
1 2 1
Cartesian
0.972 -0.605 2.444
0.000 0.000 0.000
-1.662 -0.756 1.987
0.000 -2.543 0.836
```

Properties
Energy above the lowest structure with this stoichiometry ... 0.017 eV/atom
Symmetry ... I-4m2, No. 119
E ... -9.97 eV per atom
Energy relative to the elements ... 0.2023 eV/atom

---

Density functional theory data (GGA-PBEsol) for Tb5Co19P12 after structural relaxation.

POSCAR file:
```
Tb5Co19P12
1.0
-1.873 3.106 -0.060
-4.379 -2.434 10.742
10.120 6.082 -1.036
Tb Co P
5 19 12
Cartesian
0.454 0.405 6.816
5.287 3.244 2.890
3.728 4.518 7.857
0.961 2.693 -0.224
-1.757 1.097 1.984
-1.700 -0.863 8.412
0.366 0.295 3.854
2.696 1.783 8.182
7.318 4.434 1.087
2.951 1.813 1.754
5.592 3.484 5.830
2.562 1.628 4.332
5.604 3.368 -0.573
-2.425 -1.348 5.948
-1.138 1.605 8.999
-1.791 1.135 5.035
1.482 3.133 6.323
6.349 6.003 2.918
3.411 4.191 0.810
3.292 4.197 4.853
0.700 2.593 2.737
6.298 5.902 -0.770
-4.067 -0.187 7.650
0.000 0.000 0.000
3.621 2.301 6.121
3.738 2.247 -0.382
-1.617 -0.899 3.968
-2.267 0.889 7.164
0.144 2.298 4.796
0.675 2.687 8.398
5.279 5.322 1.035
2.541 3.705 2.850
5.232 5.364 4.696
1.041 0.662 1.760
8.285 4.979 -0.848
-3.585 -1.993 8.794
```

Properties
Symmetry ... P-62m, No. 189
E ... -7.69 eV per atom
Energy relative to the elements ... -0.9779 eV/atom

---

Density functional theory data (GGA-PBEsol) for Zr3Cd4 after structural relaxation.

POSCAR file:
```
Zr3Cd4
1.0
-2.745 -0.759 -1.212
1.421 -1.162 -2.492
1.423 -12.546 8.584
Zr Cd
3 4
Cartesian
0.000 0.000 0.000
0.437 -7.764 3.870
-0.338 -6.702 1.011
0.211 -3.748 1.868
0.653 -11.593 5.779
-0.554 -2.873 -0.898
-0.112 -10.718 3.013
```

Properties
Symmetry ... I4/mmm, No. 139
E ... -4.73 eV per atom
Energy relative to the elements ... -0.1484 eV/atom

---

Density functional theory data (GGA-PBEsol) for LaTc3S after structural relaxation.

POSCAR file:
```
LaTc3S
1.0
-0.457 1.955 4.252
1.117 -4.103 2.006
4.544 1.205 -0.066
S Tc La
1 3 1
Cartesian
2.602 -0.471 3.096
0.559 -2.051 1.003
2.272 0.603 -0.033
-0.228 0.977 2.126
0.000 0.000 0.000
```

Properties
Raw formation energy ... 12.42 eV/f.u.
Symmetry ... Pm-3m, No. 221
E ... -6.22 eV per atom

---

Density functional theory data (GGA-PBEsol) for CoH2Pd2 after structural relaxation.

POSCAR file:
```
CoH2Pd2
1.0
-0.678 2.707 0.608
-1.233 -0.854 2.430
5.899 -0.301 1.209
H Co Pd
2 1 2
Cartesian
1.855 -0.115 2.579
2.133 1.666 1.668
0.000 0.000 0.000
3.495 0.442 1.929
0.493 1.109 2.318
```

Properties
Symmetry ... I4/mmm, No. 139
E ... -5.19 eV per atom

---

Density functional theory data (GGA-PBEsol) for Ag3HgPd after structural relaxation.

POSCAR file:
```
Ag3HgPd
1.0
-2.342 1.985 3.965
-4.219 0.381 -2.683
-1.363 -4.589 1.492
Pd Hg Ag
1 1 3
Cartesian
-3.962 -1.112 1.387
0.000 0.000 0.000
-2.109 0.190 -1.342
-0.682 -2.295 0.746
-1.171 0.992 1.982
```

Properties
Symmetry ... Pm-3m, No. 221
E ... -2.23 eV per atom
Energy relative to the elements ... 1.0616 eV/atom